# Y2TmSc4, relaxed, DFT PBE
data_Y2TmSc4
_chemical_formula_sum 'Y4 Tm2 Sc8'
_cell_length_a 3.344
_cell_length_b 34.805
_cell_length_c 3.328
_cell_angle_alpha 90.00
_cell_angle_beta 90.00
_cell_angle_gamma 90.00
_symmetry_space_group_name_H-M 'C m m m'
_symmetry_Int_Tables_number 65
_symmetry_space_group_name_Hall '-C 2 2'
loop_
_atom_site_label
_atom_site_fract_x
_atom_site_fract_y
_atom_site_fract_z
_atom_site_occupancy
Y1 0.000 0.205 0.000 1
Tm1 0.000 0.500 0.500 1
Sc1 0.000 0.069 0.000 1
Sc2 0.000 0.365 0.500 1
# volume = 387.28 Å³ per cell
# final energy = -6.00 eV per atom
# magnetization = 0.01 μB/cell
# excess energy over the best structure of this formula in the dataset = 0.000 eV per atom
# ΔH_f (0 K) = 0.11 eV/atom